Compound: VH2S
Source: Alexandria
Functional: PBE
Structure: optimized geometry

Geometry as POSCAR:
```
VH2S
1.0
1.5856 0.9154 3.9485
-1.5856 0.9154 3.9485
0.0000 -1.8309 3.9485
V H S
1 2 1
Direct
0.0000 0.0000 0.0000
0.1416 0.1416 0.1416
0.8584 0.8584 0.8584
0.5000 0.5000 0.5000
```

DOS(E_F) = 2.0 states/eV/cell
relative energy among the computed polymorphs = 2.031 eV/f.u.



Compound: Mg2BeSbN
Source: Alexandria
Functional: PBE
Structure: optimized geometry

Geometry as POSCAR:
```
Mg2BeSbN
1.0
4.7649 0.0000 0.0000
0.0000 4.7649 0.0000
0.0000 0.0000 3.3864
Mg Be Sb N
2 1 1 1
Direct
0.0000 0.5000 0.0000
0.5000 0.0000 0.0000
0.0000 0.0000 0.5000
0.5000 0.5000 0.5000
0.0000 0.0000 0.0000
```

DOS(E_F) = 0.4 states/eV/cell
formation energy (no corrections) = -0.386 eV per atom



no.,theoretical density (g cm⁻³)
1,4.1
2,4.2